No. 1
MoIr2Os (SCAN, PBEsol geometry); ρ = 19537 kg/m³; VASP energy = -62.44 eV per atom
1.0
-1.933 1.933 3.813
1.933 -1.933 3.813
1.933 1.933 -3.813
Mo Ir Os
1 2 1
Direct
0.000 0.000 0.000
0.500 0.500 0.000
0.750 0.250 0.500
0.250 0.750 0.500



No. 2
LiAsCl2 (SCAN, PBEsol geometry); ρ = 3259 kg/m³; formation energy (no corrections) = -562 meV per atom
1.0
-3.436 3.436 3.297
3.436 -3.436 3.297
3.436 3.436 -3.297
Li As Cl
2 2 4
Direct
0.000 0.000 0.000
0.750 0.250 0.500
0.250 0.750 0.500
0.500 0.500 0.000
0.101 0.625 0.976
0.375 0.351 0.476
0.649 0.125 0.024
0.875 0.899 0.524



No. 3
Ho2PbS4 (SCAN, PBEsol geometry); ρ = 6752 kg/m³; formation energy (no corrections) = -1843 meV per atom
1.0
11.790 0.000 0.000
0.000 3.915 0.000
0.000 0.000 14.180
Ho Pb S
8 4 16
Direct
0.066 0.250 0.109
0.081 0.250 0.600
0.419 0.750 0.100
0.434 0.750 0.609
0.566 0.250 0.391
0.581 0.250 0.900
0.919 0.750 0.400
0.934 0.750 0.891
0.232 0.250 0.336
0.268 0.750 0.836
0.732 0.250 0.164
0.768 0.750 0.664
0.017 0.750 0.714
0.086 0.250 0.921
0.131 0.750 0.474
0.208 0.750 0.173
0.292 0.250 0.673
0.369 0.250 0.974
0.414 0.750 0.421
0.483 0.250 0.214
0.517 0.750 0.786
0.586 0.250 0.579
0.631 0.750 0.026
0.708 0.750 0.327
0.792 0.250 0.827
0.869 0.250 0.526
0.914 0.750 0.079
0.983 0.250 0.286



No. 4
BaSr7Ti7MnO24 (SCAN, PBEsol geometry); ρ = 5358 kg/m³; formation energy (no corrections) = -3359 meV per atom
1.0
5.508 3.180 4.497
-5.508 3.180 4.497
0.000 -6.360 4.497
Ba Sr Ti Mn O
1 7 7 1 24
Direct
0.000 0.000 0.000
0.495 0.999 0.999
0.496 0.496 0.999
0.496 0.999 0.496
0.497 0.497 0.497
0.999 0.495 0.999
0.999 0.496 0.496
0.999 0.999 0.495
0.248 0.746 0.746
0.249 0.249 0.744
0.249 0.744 0.249
0.744 0.249 0.249
0.746 0.248 0.746
0.746 0.746 0.248
0.746 0.746 0.746
0.249 0.249 0.249
0.000 0.253 0.746
0.000 0.746 0.253
0.000 0.746 0.746
0.005 0.253 0.253
0.251 0.251 0.495
0.251 0.495 0.251
0.251 0.499 0.748
0.251 0.748 0.499
0.253 0.000 0.746
0.253 0.005 0.253
0.253 0.253 0.005
0.253 0.746 0.000
0.495 0.251 0.251
0.499 0.251 0.748
0.499 0.748 0.251
0.499 0.748 0.748
0.746 0.000 0.253
0.746 0.000 0.746
0.746 0.253 0.000
0.746 0.746 0.000
0.748 0.251 0.499
0.748 0.499 0.251
0.748 0.499 0.748
0.748 0.748 0.499



No. 5
KZnAu (SCAN, PBEsol geometry); ρ = 6675 kg/m³; VASP energy = -30.57 eV per atom
1.0
-1.786 1.786 5.877
1.786 -1.786 5.877
1.786 1.786 -5.877
K Zn Au
1 1 1
Direct
0.000 0.000 0.000
0.266 0.266 0.000
0.724 0.724 0.000



No. 6
KY2Sc (SCAN, PBEsol geometry); ρ = 3185 kg/m³; VASP energy = -19.29 eV per atom
1.0
3.499 0.000 0.000
0.000 3.499 0.000
-0.021 0.000 11.153
K Y Sc
1 2 1
Direct
0.000 0.000 0.000
0.003 0.000 0.482
0.504 0.500 0.696
0.502 0.500 0.287



No. 7
Sr2MgAg (SCAN, PBEsol geometry); ρ = 4033 kg/m³; VASP energy = -20.20 eV per atom
1.0
-2.404 2.404 5.477
2.404 -2.404 5.477
2.404 2.404 -5.477
Sr Mg Ag
2 1 1
Direct
0.000 0.000 0.000
0.750 0.250 0.500
0.250 0.750 0.500
0.500 0.500 0.000



No. 8
YAgF2 (SCAN, PBEsol geometry); ρ = 4887 kg/m³; formation energy (no corrections) = -1855 meV per atom
1.0
1.936 1.118 6.141
-1.936 1.118 6.141
0.000 -2.236 6.141
Y Ag F
1 1 2
Direct
0.000 0.000 0.000
0.500 0.500 0.500
0.114 0.114 0.114
0.886 0.886 0.886



No. 9
Zr2OsBr (SCAN, PBEsol geometry); ρ = 10162 kg/m³; formation energy (no corrections) = -15 meV per atom
1.0
0.000 3.332 3.332
3.332 0.000 3.332
3.332 3.332 0.000
Zr Os Br
2 1 1
Direct
0.250 0.250 0.250
0.750 0.750 0.750
0.000 0.000 0.000
0.500 0.500 0.500



No. 10
TlSi2Se (SCAN, PBEsol geometry); ρ = 6528 kg/m³; formation energy (no corrections) = 209 meV per atom
1.0
1.706 0.985 8.566
-1.706 0.985 8.566
0.000 -1.970 8.566
Tl Si Se
1 2 1
Direct
0.000 0.000 0.000
0.487 0.487 0.487
0.759 0.759 0.759
0.211 0.211 0.211



No. 11
Be2Nb2Cu (SCAN, PBEsol geometry); ρ = 7015 kg/m³; VASP energy = -18.16 eV per atom
1.0
5.922 0.000 0.000
0.000 5.922 0.000
0.000 0.000 3.610
Be Nb Cu
4 4 2
Direct
0.129 0.371 0.000
0.371 0.871 0.000
0.629 0.129 0.000
0.871 0.629 0.000
0.170 0.670 0.500
0.330 0.170 0.500
0.670 0.830 0.500
0.830 0.330 0.500
0.000 0.000 0.000
0.500 0.500 0.000



No. 12
Fe3Co (SCAN, PBEsol geometry); ρ = 8607 kg/m³; VASP energy = -18.04 eV per atom
1.0
-1.392 1.977 7.936
1.392 -1.977 7.936
1.392 1.977 -7.936
Fe Co
6 2
Direct
0.187 0.437 0.750
0.313 0.063 0.250
0.438 0.688 0.750
0.562 0.312 0.250
0.687 0.937 0.750
0.813 0.563 0.250
0.063 0.813 0.250
0.937 0.187 0.750



No. 13
MgZnMo2 (SCAN, PBEsol geometry); ρ = 7628 kg/m³; VASP energy = -21.87 eV per atom
1.0
-1.866 1.866 4.401
1.866 -1.866 4.401
1.866 1.866 -4.401
Mg Zn Mo
1 1 2
Direct
0.000 0.000 0.000
0.500 0.500 0.000
0.250 0.750 0.500
0.750 0.250 0.500



No. 14
SiOs2Pt (SCAN, PBEsol geometry); ρ = 18062 kg/m³; formation energy (no corrections) = 219 meV per atom
1.0
0.000 3.027 3.027
3.027 0.000 3.027
3.027 3.027 0.000
Si Os Pt
1 2 1
Direct
0.000 0.000 0.000
0.250 0.250 0.250
0.750 0.750 0.750
0.500 0.500 0.500



No. 15
Sn3GeSe (SCAN, PBEsol geometry); ρ = 5706 kg/m³; formation energy (no corrections) = 564 meV per atom
1.0
5.287 0.000 0.000
0.000 5.287 0.000
0.000 0.000 5.287
Sn Ge Se
3 1 1
Direct
0.000 0.000 0.500
0.000 0.500 0.000
0.500 0.000 0.000
0.000 0.000 0.000
0.500 0.500 0.500



No. 16
TlSiPb (SCAN, PBEsol geometry); ρ = 8544 kg/m³; formation energy (no corrections) = 677 meV per atom
1.0
0.000 3.496 3.496
3.496 0.000 3.496
3.496 3.496 0.000
Tl Si Pb
1 1 1
Direct
0.000 0.000 0.000
0.250 0.250 0.250
0.750 0.750 0.750



No. 17
BeIr3O (SCAN, PBEsol geometry); ρ = 15306 kg/m³; formation energy (no corrections) = 939 meV per atom
1.0
4.026 0.000 0.000
0.000 4.026 0.000
0.000 0.000 4.026
Be Ir O
1 3 1
Direct
0.000 0.000 0.000
0.000 0.500 0.500
0.500 0.000 0.500
0.500 0.500 0.000
0.500 0.500 0.500



No. 18
TcPAu2 (SCAN, PBEsol geometry); ρ = 13499 kg/m³; VASP energy = -45.72 eV per atom
1.0
1.517 -2.325 0.000
1.517 2.325 0.000
0.000 0.000 9.117
Tc P Au
1 1 2
Direct
0.000 0.000 0.000
0.500 0.500 0.816
0.000 0.000 0.529
0.500 0.500 0.263



No. 19
TlIn2Hg (SCAN, PBEsol geometry); ρ = 10375 kg/m³; VASP energy = -51.77 eV per atom
1.0
1.684 0.972 10.339
-1.684 0.972 10.339
0.000 -1.945 10.339
Tl In Hg
1 2 1
Direct
0.000 0.000 0.000
0.246 0.246 0.246
0.496 0.496 0.496
0.750 0.750 0.750



No. 20
AlZn2Rh (SCAN, PBEsol geometry); ρ = 8038 kg/m³; VASP energy = -17.69 eV per atom
1.0
-1.859 1.859 3.896
1.859 -1.859 3.896
1.859 1.859 -3.896
Al Zn Rh
1 2 1
Direct
0.000 0.000 0.000
0.500 0.500 0.000
0.750 0.250 0.500
0.250 0.750 0.500



No. 21
LiNi2Hg (SCAN, PBEsol geometry); ρ = 10427 kg/m³; VASP energy = -25.51 eV per atom
1.0
3.037 0.000 0.000
0.000 3.037 0.000
0.000 0.000 5.611
Li Ni Hg
1 2 1
Direct
0.000 0.000 0.000
0.500 0.500 0.220
0.500 0.500 0.780
0.000 0.000 0.500



No. 22
SrHf2TaNb (SCAN, PBEsol geometry); ρ = 10512 kg/m³; VASP energy = -46.95 eV per atom
1.0
4.908 0.000 0.000
0.000 4.908 0.000
0.000 0.000 4.711
Sr Hf Ta Nb
1 2 1 1
Direct
0.000 0.000 0.000
0.000 0.500 0.000
0.500 0.000 0.000
0.500 0.500 0.500
0.000 0.000 0.500



No. 23
Zr2AgSe (SCAN, PBEsol geometry); ρ = 7705 kg/m³; formation energy (no corrections) = -541 meV per atom
1.0
3.743 0.000 0.000
0.000 3.743 0.000
0.000 0.000 5.682
Zr Ag Se
2 1 1
Direct
0.000 0.000 0.000
0.500 0.500 0.355
0.000 0.000 0.513
0.500 0.500 0.856



No. 24
Be2AgRu (SCAN, PBEsol geometry); ρ = 8186 kg/m³; VASP energy = -18.72 eV per atom
1.0
4.387 -1.309 0.000
4.387 1.309 0.000
-1.163 0.000 4.008
Be Ag Ru
2 1 1
Direct
0.000 0.000 0.000
0.722 0.722 0.343
0.249 0.249 0.857
0.472 0.472 0.475



No. 25
Zr7Te (SCAN, PBEsol geometry); ρ = 7346 kg/m³; formation energy (no corrections) = -198 meV per atom
1.0
0.000 4.424 4.424
4.424 0.000 4.424
4.424 4.424 0.000
Zr Te
7 1
Direct
0.000 0.000 0.000
0.000 0.000 0.500
0.000 0.500 0.000
0.000 0.500 0.500
0.500 0.000 0.000
0.500 0.000 0.500
0.500 0.500 0.000
0.500 0.500 0.500



No. 26
ReRu2AuS (SCAN, PBEsol geometry); ρ = 10682 kg/m³; formation energy (no corrections) = 1387 meV per atom
1.0
4.694 0.000 0.000
0.000 4.694 0.000
0.000 0.000 4.356
Re Ru Au S
1 2 1 1
Direct
0.000 0.000 0.000
0.000 0.500 0.000
0.500 0.000 0.000
0.500 0.500 0.500
0.000 0.000 0.500